[1]
Compound: Ba2PmAgTe4
Source: Alexandria
Functional: PBE
Structure: relaxed

```
Ba2PmAgTe4
1.0
4.709 0.000 0.000
0.000 8.152 -0.060
0.000 2.963 7.733
Ba Pm Ag Te
2 1 1 4
Direct
0.000 0.000 0.000 Ba
0.500 0.000 0.500 Ba
0.000 0.500 0.500 Pm
0.500 0.500 0.000 Ag
0.000 0.709 0.764 Te
0.000 0.291 0.236 Te
0.500 0.724 0.266 Te
0.500 0.276 0.734 Te
```

Summary:
VASP energy: -4.26 eV per atom
formation energy (no corrections): -1262 meV/atom

---

[2]
Compound: MnNiBr2
Source: Alexandria
Functional: PBE
Structure: relaxed

```
MnNiBr2
1.0
4.675 0.020 0.000
-0.022 4.675 0.000
0.000 0.000 3.388
Br Mn Ni
2 1 1
Direct
0.000 0.000 0.000 Br
0.500 0.500 0.000 Br
0.500 0.000 0.500 Mn
0.000 0.500 0.500 Ni
```

Summary:
VASP energy: -4.21 eV per atom
energy relative to the lowest polymorph listed for this composition: 573 meV per atom
formation energy (no corrections): 364 meV/atom

---

[3]
Compound: TaFeBr2
Source: Alexandria
Functional: PBE
Structure: relaxed

```
TaFeBr2
1.0
-1.184 -2.820 -0.654
1.137 0.756 -5.316
4.537 -1.268 -2.742
Br Fe Ta
2 1 1
Direct
0.000 0.000 0.000 Br
0.500 0.500 0.000 Br
0.500 0.500 0.500 Fe
0.000 0.000 0.500 Ta
```

Summary:
VASP energy: -5.29 eV per atom
energy relative to the lowest polymorph listed for this composition: 611 meV per atom
formation energy (no corrections): 624 meV/atom

---

[4]
Compound: CsNbGeRu2
Source: Alexandria
Functional: PBE
Structure: relaxed

```
CsNbGeRu2
1.0
4.674 0.000 0.000
0.000 5.666 0.000
0.000 0.000 4.674
Cs Ru Nb Ge
1 2 1 1
Direct
0.000 0.500 0.000 Cs
0.000 0.000 0.500 Ru
0.500 0.000 0.000 Ru
0.500 0.500 0.500 Nb
0.000 0.000 0.000 Ge
```

Summary:
VASP energy: -5.07 eV per atom
DFT formation energy: 1.746 eV per atom

---

[5]
Compound: TcPPtS2
Source: Alexandria
Functional: PBE
Structure: relaxed

```
TcPPtS2
1.0
4.810 0.000 0.000
0.000 4.810 0.000
0.000 0.000 4.523
P S Tc Pt
1 2 1 1
Direct
0.000 0.000 0.500 P
0.000 0.500 0.000 S
0.500 0.000 0.000 S
0.500 0.500 0.500 Tc
0.000 0.000 0.000 Pt
```

Summary:
VASP energy: -4.94 eV per atom
energy relative to the lowest polymorph listed for this composition: 301 meV per atom
formation energy (no corrections): 1072 meV/atom

---

[6]
Compound: AlFeH2
Source: Alexandria
Functional: PBE
Structure: relaxed

```
AlFeH2
1.0
-2.893 2.333 -0.724
-2.427 -2.872 0.448
-2.970 0.643 4.040
H Fe Al
4 2 2
Direct
0.689 0.125 0.250 H
0.061 0.625 0.250 H
0.375 0.311 0.750 H
0.875 0.939 0.750 H
0.000 0.000 0.000 Fe
0.750 0.250 0.500 Fe
0.500 0.500 0.000 Al
0.250 0.750 0.500 Al
```

Summary:
VASP energy: -4.62 eV per atom
energy relative to the lowest polymorph listed for this composition: 61 meV per atom

---

[7]
Compound: CeCu6Pt6
Source: Alexandria
Functional: PBE
Structure: relaxed

```
CeCu6Pt6
1.0
-3.970 -0.938 -2.998
0.309 -6.071 -2.785
-5.139 -2.647 3.360
Ce Cu Pt
1 6 6
Direct
0.000 0.000 0.000 Ce
0.000 0.500 0.000 Cu
0.500 0.500 0.000 Cu
0.000 0.000 0.500 Cu
0.500 0.000 0.500 Cu
0.500 0.764 0.236 Cu
0.500 0.236 0.764 Cu
0.339 0.661 0.661 Pt
0.661 0.339 0.339 Pt
0.000 0.345 0.655 Pt
0.000 0.655 0.345 Pt
0.304 0.196 0.196 Pt
0.696 0.804 0.804 Pt
```

Summary:
VASP energy: -5.50 eV per atom
DFT formation energy: -0.368 eV per atom

---

[8]
Compound: SrLi2SiS4
Source: Alexandria
Functional: PBE
Structure: relaxed

```
SrLi2SiS4
1.0
-2.010 -2.783 5.550
-1.899 -5.733 0.275
3.836 -2.125 4.161
Sr Li Si S
1 2 1 4
Direct
0.000 0.000 0.000 Sr
0.500 0.750 0.250 Li
0.500 0.250 0.750 Li
0.000 0.500 0.500 Si
0.619 0.533 0.847 S
0.381 0.153 0.467 S
0.000 0.467 0.153 S
0.000 0.847 0.533 S
```

Summary:
VASP energy: -4.81 eV per atom
formation energy (no corrections): -1378 meV/atom